No. 1
VASP calculation (GGA-PBE) on crystalline Ce2UOs at its relaxed geometry.

The structure in CIF format:
```
data_Ce2UOs
_chemical_formula_sum 'Ce6 U3 Os3'
_symmetry_space_group_name_H-M 'R -3 m'
_symmetry_Int_Tables_number 166
_symmetry_space_group_name_Hall '-R 3 2"'
_cell_length_a 4.6113
_cell_length_b 4.6113
_cell_length_c 13.8061
_cell_angle_alpha 90.00
_cell_angle_beta 90.00
_cell_angle_gamma 120.00
loop_
_atom_site_label
_atom_site_fract_x
_atom_site_fract_y
_atom_site_fract_z
_atom_site_occupancy
Ce1 0.0000 0.0000 0.2476 1
U1 0.0000 0.0000 0.5000 1
Os1 0.0000 0.0000 0.0000 1
```

Calculated values
DFT formation energy ... 0.196 eV per atom
Density ... 13.9 g/cm³
N(E_F) ... 32.30 states/eV per cell



No. 2
VASP calculation (GGA-PBE) on crystalline CeUOs2 at its relaxed geometry.

The structure in CIF format:
```
data_CeUOs2
_chemical_formula_sum 'Ce1 U1 Os2'
_symmetry_space_group_name_H-M 'P 1 2/m 1'
_symmetry_Int_Tables_number 10
_cell_length_a 3.892
_cell_length_b 3.535
_cell_length_c 6.038
_cell_angle_alpha 90.00
_cell_angle_beta 105.55
_cell_angle_gamma 90.00
loop_
_symmetry_equiv_pos_as_xyz
'x,y,z'
'-x,-y,-z'
'-x,y,-z'
'x,-y,z'
loop_
_atom_site_label
_atom_site_fract_x
_atom_site_fract_y
_atom_site_fract_z
_atom_site_occupancy
Ce1 0.000 0.000 0.000 1
U1 0.000 0.000 0.500 1
Os1 0.470 0.500 0.731 1
```

Calculated values
DFT formation energy ... -0.050 eV per atom
Density ... 15.7 g/cm³
N(E_F) ... 6.21 states/eV per cell



No. 3
VASP calculation (GGA-PBE) on crystalline CeUOs2 at its relaxed geometry.

The structure in CIF format:
```
data_CeUOs2
_chemical_formula_sum 'Ce1 U1 Os2'
_symmetry_space_group_name_H-M 'P 4/m m m'
_symmetry_Int_Tables_number 123
_symmetry_space_group_name_Hall '-P 4 2'
_cell_length_a 3.342
_cell_length_b 3.342
_cell_length_c 7.266
_cell_angle_alpha 90.00
_cell_angle_beta 90.00
_cell_angle_gamma 90.00
loop_
_atom_site_label
_atom_site_fract_x
_atom_site_fract_y
_atom_site_fract_z
_atom_site_occupancy
Ce1 0.000 0.000 0.000 1
U1 0.000 0.000 0.500 1
Os1 0.500 0.500 0.282 1
```

Calculated values
DFT formation energy ... -0.062 eV per atom
Density ... 15.5 g/cm³
N(E_F) ... 7.68 states/eV per cell



No. 4
VASP calculation (GGA-PBE) on crystalline CeUOs2 at its relaxed geometry.

The structure in CIF format:
```
data_CeUOs2
_chemical_formula_sum 'Ce3 U3 Os6'
_symmetry_space_group_name_H-M 'R -3 m'
_symmetry_Int_Tables_number 166
_symmetry_space_group_name_Hall '-R 3 2"'
_cell_length_a 3.9087
_cell_length_b 3.9087
_cell_length_c 19.7353
_cell_angle_alpha 90.00
_cell_angle_beta 90.00
_cell_angle_gamma 120.00
loop_
_atom_site_label
_atom_site_fract_x
_atom_site_fract_y
_atom_site_fract_z
_atom_site_occupancy
Ce1 0.0000 0.0000 0.0000 1
U1 0.0000 0.0000 0.5000 1
Os1 0.0000 0.0000 0.2447 1
```

Calculated values
DFT formation energy ... 0.036 eV per atom
Density ... 14.5 g/cm³
N(E_F) ... 9.26 states/eV per cell



No. 5
VASP calculation (GGA-PBE) on crystalline CeVOs at its relaxed geometry.

The structure in CIF format:
```
data_CeVOs
_chemical_formula_sum 'Ce2 V2 Os2'
_symmetry_space_group_name_H-M 'I 4 m m'
_symmetry_Int_Tables_number 107
_symmetry_space_group_name_Hall 'I 4 -2'
_cell_length_a 3.039
_cell_length_b 3.039
_cell_length_c 11.859
_cell_angle_alpha 90.00
_cell_angle_beta 90.00
_cell_angle_gamma 90.00
loop_
_atom_site_label
_atom_site_fract_x
_atom_site_fract_y
_atom_site_fract_z
_atom_site_occupancy
Ce1 0.000 0.000 0.000 1
V1 0.000 0.000 0.700 1
Os1 0.000 0.000 0.306 1
```

Calculated values
DFT formation energy ... -0.063 eV per atom
Density ... 11.6 g/cm³
N(E_F) ... 8.87 states/eV per cell



No. 6
VASP calculation (GGA-PBE) on crystalline CeVOs at its relaxed geometry.

The structure in CIF format:
```
data_CeVOs
_chemical_formula_sum 'Ce4 V4 Os4'
_symmetry_space_group_name_H-M 'P 1 21/c 1'
_symmetry_Int_Tables_number 14
_cell_length_a 5.795
_cell_length_b 5.756
_cell_length_c 7.461
_cell_angle_alpha 90.00
_cell_angle_beta 107.98
_cell_angle_gamma 90.00
loop_
_symmetry_equiv_pos_as_xyz
'x,y,z'
'-x,-y,-z'
'-x,y+1/2,-z+1/2'
'x,-y+1/2,z+1/2'
loop_
_atom_site_label
_atom_site_fract_x
_atom_site_fract_y
_atom_site_fract_z
_atom_site_occupancy
Ce1 0.073 0.245 0.395 1
V1 0.498 0.000 0.290 1
Os1 0.357 0.700 0.465 1
```

Calculated values
DFT formation energy ... -0.038 eV per atom
Density ... 10.7 g/cm³
N(E_F) ... 23.19 states/eV per cell